# 1
# Ba2YTl GGA-PBEsol relaxed
# Spin magnetization (μB per formula unit): 0.0
# Calculated formation energy (eV/f.u.): -0.18
# Total energy (eV/atom): -3.48
data_Ba2YTl
_symmetry_space_group_name_H-M 'I 4/m m m'
_symmetry_Int_Tables_number 139
_symmetry_space_group_name_Hall '-I 4 2'
_cell_length_a 5.0564
_cell_length_b 5.0564
_cell_length_c 10.9754
_cell_angle_alpha 90.00
_cell_angle_beta 90.00
_cell_angle_gamma 90.00
loop_
_atom_site_label
_atom_site_type_symbol
_atom_site_fract_x
_atom_site_fract_y
_atom_site_fract_z
Ba1 Ba 0.0000 0.5000 0.2500
Y1 Y 0.0000 0.0000 0.0000
Tl1 Tl 0.0000 0.0000 0.5000



# 2
# LiMg2Rh2 GGA-PBEsol relaxed
# Spin magnetization (μB per formula unit): 0.0
# Calculated formation energy (eV/f.u.): -1.01
# Total energy (eV/atom): -4.54
data_LiMg2Rh2
_symmetry_space_group_name_H-M 'P 4/m b m'
_symmetry_Int_Tables_number 127
_symmetry_space_group_name_Hall '-P 4 2ab'
_cell_length_a 7.0701
_cell_length_b 7.0701
_cell_length_c 3.1724
_cell_angle_alpha 90.00
_cell_angle_beta 90.00
_cell_angle_gamma 90.00
loop_
_atom_site_label
_atom_site_type_symbol
_atom_site_fract_x
_atom_site_fract_y
_atom_site_fract_z
Li1 Li 0.0000 0.0000 0.0000
Mg1 Mg 0.1623 0.3377 0.5000
Rh1 Rh 0.1346 0.6346 0.0000



# 3
# Cr3AgGe GGA-PBEsol relaxed
# Spin magnetization (μB per formula unit): 11.3
# Offset from the most stable computed form (meV per atom): 0
# Calculated formation energy (eV/f.u.): 6.13
# Total energy (eV/atom): -6.57
data_Cr3AgGe
_symmetry_space_group_name_H-M 'P m -3 m'
_symmetry_Int_Tables_number 221
_symmetry_space_group_name_Hall '-P 4 2 3'
_cell_length_a 4.6283
_cell_length_b 4.6283
_cell_length_c 4.6283
_cell_angle_alpha 90.00
_cell_angle_beta 90.00
_cell_angle_gamma 90.00
loop_
_atom_site_label
_atom_site_type_symbol
_atom_site_fract_x
_atom_site_fract_y
_atom_site_fract_z
Cr1 Cr 0.0000 0.0000 0.5000
Ag1 Ag 0.5000 0.5000 0.5000
Ge1 Ge 0.0000 0.0000 0.0000